Record 1
A plane-wave DFT calculation with GGA-PBE was carried out for an optimized crystal structure of Pr2CoAs3Rh4.

Calculated values
- total energy (eV/cell) = -68.07
- energy of formation (eV/atom) = -0.805
- space group = No. 115

a b c (Å): 4.231 4.231 10.146
angles (deg): 90.00 90.00 90.00
Positions (direct):
1 Pr 0.000 0.500 0.244
2 Pr 0.500 0.000 0.756
3 Co 0.500 0.500 0.000
4 As 0.000 0.000 0.000
5 As 0.000 0.500 0.638
6 As 0.500 0.000 0.362
7 Rh 0.000 0.000 0.500
8 Rh 0.000 0.500 0.878
9 Rh 0.500 0.000 0.122
10 Rh 0.500 0.500 0.500

Record 2
A plane-wave DFT calculation with GGA-PBE was carried out for an optimized crystal structure of BeAsCl2.

Calculated values
- E_form (uncorrected) (eV per atom) = 0.716
- distance to the lowest polymorph of the same formula (kJ per mole of atoms) = 119.9
- total energy (eV/cell) = -9.21
- space group = No. 225

a b c (Å): 4.672 4.672 4.672
angles (deg): 60.00 60.00 60.00
Positions (direct):
1 Be 0.000 0.000 0.000
2 As 0.500 0.500 0.500
3 Cl 0.250 0.250 0.250
4 Cl 0.750 0.750 0.750

Record 3
A plane-wave DFT calculation with GGA-PBE was carried out for an optimized crystal structure of Ca2NiB2Pt5.

Calculated values
- total energy (eV/cell) = -117.52
- energy of formation (eV/atom) = -0.542
- space group = No. 127

a b c (Å): 9.525 9.525 3.247
angles (deg): 90.00 90.00 90.00
Positions (direct):
1 Ca 0.177 0.323 0.000
2 Ca 0.323 0.823 0.000
3 Ca 0.677 0.177 0.000
4 Ca 0.823 0.677 0.000
5 Ni 0.000 0.000 0.000
6 Ni 0.500 0.500 0.000
7 B 0.125 0.625 0.000
8 B 0.375 0.125 0.000
9 B 0.625 0.875 0.000
10 B 0.875 0.375 0.000
11 Pt 0.000 0.500 0.500
12 Pt 0.068 0.784 0.500
13 Pt 0.216 0.068 0.500
14 Pt 0.284 0.568 0.500
15 Pt 0.432 0.284 0.500
16 Pt 0.500 0.000 0.500
17 Pt 0.568 0.716 0.500
18 Pt 0.716 0.432 0.500
19 Pt 0.784 0.932 0.500
20 Pt 0.932 0.216 0.500

Record 4
A plane-wave DFT calculation with GGA-PBE was carried out for an optimized crystal structure of TbTl2CuI6.

Calculated values
- E_form (uncorrected) (eV per atom) = -0.765
- total energy (eV/cell) = -30.41
- space group = No. 12

a b c (Å): 8.821 8.821 7.055
angles (deg): 105.97 105.97 54.82
Positions (direct):
1 Tb 0.000 0.000 0.000
2 Tl 0.258 0.258 0.834
3 Tl 0.742 0.742 0.166
4 Cu 0.500 0.500 0.500
5 I 0.186 0.186 0.300
6 I 0.190 0.661 0.218
7 I 0.339 0.810 0.782
8 I 0.661 0.190 0.218
9 I 0.810 0.339 0.782
10 I 0.814 0.814 0.700

Record 5
A plane-wave DFT calculation with GGA-PBE was carried out for an optimized crystal structure of In2TcI8.

Calculated values
- E_form (uncorrected) (eV per atom) = -0.304
- total energy (eV/cell) = -31.59
- space group = No. 12

a b c (Å): 8.752 8.752 7.361
angles (deg): 99.05 99.05 75.85
Positions (direct):
1 In 0.183 0.183 0.132
2 In 0.817 0.817 0.868
3 Tc 0.000 0.000 0.500
4 I 0.105 0.748 0.703
5 I 0.178 0.178 0.742
6 I 0.252 0.895 0.297
7 I 0.382 0.382 0.272
8 I 0.618 0.618 0.728
9 I 0.748 0.105 0.703
10 I 0.822 0.822 0.258
11 I 0.895 0.252 0.297

Record 6
A plane-wave DFT calculation with GGA-PBE was carried out for an optimized crystal structure of Tb3Pr2Y3.

Calculated values
- distance to the lowest polymorph of the same formula (kJ per mole of atoms) = 2.0
- total energy (eV/cell) = -42.66
- energy of formation (eV/atom) = 0.022
- space group = No. 71

a b c (Å): 10.775 10.775 10.775
angles (deg): 152.57 152.57 39.18
Positions (direct):
1 Tb 0.000 0.000 0.000
2 Tb 0.377 0.877 0.500
3 Tb 0.623 0.123 0.500
4 Pr 0.250 0.250 0.000
5 Pr 0.750 0.750 0.000
6 Y 0.123 0.623 0.500
7 Y 0.500 0.500 0.000
8 Y 0.877 0.377 0.500

Record 7
A plane-wave DFT calculation with GGA-PBE was carried out for an optimized crystal structure of AgPHO2.

Calculated values
- distance to the lowest polymorph of the same formula (kJ per mole of atoms) = 66.5
- total energy (eV/cell) = -15.03
- space group = No. 123

a b c (Å): 3.933 3.933 5.157
angles (deg): 90.00 90.00 90.00
Positions (direct):
1 Ag 0.000 0.000 0.000
2 P 0.000 0.000 0.500
3 H 0.500 0.500 0.500
4 O 0.000 0.500 0.000
5 O 0.500 0.000 0.000

Record 8
A plane-wave DFT calculation with GGA-PBE was carried out for an optimized crystal structure of Na2CuAs2.

Calculated values
- distance to the lowest polymorph of the same formula (kJ per mole of atoms) = 0.0
- total energy (eV/cell) = -35.15
- energy of formation (eV/atom) = -0.309
- space group = No. 12

a b c (Å): 5.738 5.738 10.225
angles (deg): 117.74 117.74 44.33
Positions (direct):
1 Na 0.007 0.007 0.183
2 Na 0.193 0.193 0.604
3 Na 0.807 0.807 0.396
4 Na 0.993 0.993 0.817
5 Cu 0.276 0.276 0.138
6 Cu 0.724 0.724 0.862
7 As 0.363 0.363 0.944
8 As 0.493 0.493 0.617
9 As 0.507 0.507 0.383
10 As 0.637 0.637 0.056

Record 9
A plane-wave DFT calculation with GGA-PBE was carried out for an optimized crystal structure of YScHg4.

Calculated values
- distance to the lowest polymorph of the same formula (kJ per mole of atoms) = 19.8
- total energy (eV/cell) = -14.81
- energy of formation (eV/atom) = -0.134
- space group = No. 216

a b c (Å): 5.880 5.880 5.880
angles (deg): 60.00 60.00 60.00
Positions (direct):
1 Y 0.000 0.000 0.000
2 Sc 0.250 0.250 0.250
3 Hg 0.125 0.625 0.625
4 Hg 0.625 0.125 0.625
5 Hg 0.625 0.625 0.125
6 Hg 0.625 0.625 0.625

Record 10
A plane-wave DFT calculation with GGA-PBE was carried out for an optimized crystal structure of CaTbPr6Y2.

Calculated values
- total energy (eV/cell) = -93.85
- energy of formation (eV/atom) = 0.131
- space group = No. 15

a b c (Å): 9.107 9.107 9.879
angles (deg): 93.93 93.93 118.11
Positions (direct):
1 Ca 0.097 0.903 0.750
2 Ca 0.903 0.097 0.250
3 Tb 0.469 0.531 0.250
4 Tb 0.531 0.469 0.750
5 Pr 0.009 0.790 0.380
6 Pr 0.067 0.524 0.179
7 Pr 0.210 0.991 0.120
8 Pr 0.267 0.612 0.555
9 Pr 0.388 0.733 0.945
10 Pr 0.476 0.933 0.321
11 Pr 0.524 0.067 0.679
12 Pr 0.612 0.267 0.055
13 Pr 0.733 0.388 0.445
14 Pr 0.790 0.009 0.880
15 Pr 0.933 0.476 0.821
16 Pr 0.991 0.210 0.620
17 Y 0.206 0.300 0.954
18 Y 0.300 0.206 0.454
19 Y 0.700 0.794 0.546
20 Y 0.794 0.700 0.046

Record 11
A plane-wave DFT calculation with GGA-PBE was carried out for an optimized crystal structure of CeU2Te4.

Calculated values
- E_form (uncorrected) (eV per atom) = -0.781
- total energy (eV/cell) = -93.08
- space group = No. 63

a b c (Å): 7.458 7.458 15.187
angles (deg): 90.00 90.00 146.66
Positions (direct):
1 Ce 0.109 0.891 0.750
2 Ce 0.891 0.109 0.250
3 U 0.360 0.640 0.562
4 U 0.360 0.640 0.938
5 U 0.640 0.360 0.062
6 U 0.640 0.360 0.438
7 Te 0.000 0.000 0.000
8 Te 0.000 0.000 0.500
9 Te 0.280 0.720 0.129
10 Te 0.280 0.720 0.371
11 Te 0.444 0.556 0.750
12 Te 0.556 0.444 0.250
13 Te 0.720 0.280 0.629
14 Te 0.720 0.280 0.871